{
  "formula": "Mg2MoPt",
  "functional": "PBEsol",
  "state": "optimized geometry",
  "cell": [[2.759, 0.000, 0.000], [0.000, 4.497, 0.000], [-0.798, 0.000, 5.181]],
  "species": ["Mg", "Mg", "Mo", "Pt"],
  "frac_coords": [[0.209, 0.000, 0.252], [0.791, 0.000, 0.748], [0.500, 0.500, 0.000], [0.000, 0.500, 0.500]],
  "mass_density_g_cm3": 8.8,
  "e_above_lowest_polymorph_mev_per_atom": 45,
  "space_group": "No. 10",
  "total_magnetization_mub_per_cell": 0.003,
  "formation_energy_ev_per_atom": -0.003,
  "energy_ev_per_cell": -22.18
}